# 1
A plane-wave DFT calculation with PBE was carried out for an optimized crystal structure of Pm3Re5N12.

The value obtained for the total energy is -1488.5 eV/cell. For the spin magnetization, the calculation gives 0.002 μB/atom.

It has space group Ia-3d (No. 230), with a = 12.836 Å, b = 12.836 Å, c = 12.836 Å, α = 90.00°, β = 90.00° and γ = 90.00°. The inequivalent atoms are Pm at (0.000, 0.250, 0.125), Re at (0.000, 0.000, 0.000), Re at (0.000, 0.250, 0.375) and N at (0.034, 0.047, 0.648).

# 2
A plane-wave DFT calculation with PBE was carried out for an optimized crystal structure of Tb2Tm.

The value obtained for the total energy is -46.4 eV/cell. For the formation energy from the elements, the calculation gives 0.715 eV per atom. For the spin magnetization, the calculation gives 0.003 μB/atom.

It has space group Fm-3m (No. 225), with a = 7.608 Å, b = 7.608 Å, c = 7.608 Å, α = 90.00°, β = 90.00° and γ = 90.00°. The inequivalent atoms are Tb at (0.250, 0.250, 0.250) and Tm at (0.000, 0.000, 0.000).

# 3
A plane-wave DFT calculation with PBE was carried out for an optimized crystal structure of CsLaTa.

The value obtained for the total energy is -49.2 eV/cell. For the spin magnetization, the calculation gives 1.116 μB/atom.

It has space group F-43m (No. 216), with a = 7.787 Å, b = 7.787 Å, c = 7.787 Å, α = 90.00°, β = 90.00° and γ = 90.00°. The inequivalent atoms are Cs at (0.000, 0.000, 0.000), La at (0.000, 0.000, 0.500) and Ta at (0.250, 0.250, 0.250).

# 4
A plane-wave DFT calculation with PBE was carried out for an optimized crystal structure of Cs2Hg2O3.

The value obtained for the total energy is -78.8 eV/cell.

It has space group I2_13 (No. 199), with a = 9.001 Å, b = 9.001 Å, c = 9.001 Å, α = 90.00°, β = 90.00° and γ = 90.00°. The inequivalent atoms are Cs at (0.074, 0.074, 0.074), Hg at (0.130, 0.370, 0.630) and O at (0.000, 0.250, 0.448).

# 5
A plane-wave DFT calculation with PBE was carried out for an optimized crystal structure of Pm2CuPd.

The value obtained for the total energy is -41.0 eV/cell. For the formation energy from the elements, the calculation gives -0.525 eV per atom. For the spin magnetization, the calculation gives 0.000 μB/atom.

It has space group P2_1/m (No. 11), with a = 5.691 Å, b = 4.612 Å, c = 7.697 Å, α = 90.00°, β = 109.66° and γ = 90.00°. The inequivalent atoms are Pm at (0.222, 0.250, 0.430), Pm at (0.223, 0.250, 0.932), Cu at (0.350, 0.750, 0.711) and Pd at (0.347, 0.750, 0.213).

# 6
A plane-wave DFT calculation with PBE was carried out for an optimized crystal structure of La2Dy2CBr3Cl2.

The value obtained for the total energy is -105.2 eV/cell. For the spin magnetization, the calculation gives 0.004 μB/atom.

It has space group C2/m (No. 12), with a = 17.491 Å, b = 3.918 Å, c = 8.662 Å, α = 90.00°, β = 103.05° and γ = 90.00°. The inequivalent atoms are La at (0.002, 0.000, 0.294), Dy at (0.142, 0.500, 0.569), C at (0.000, 0.500, 0.500), Br at (0.000, 0.500, 0.000), Br at (0.177, 0.000, 0.816) and Cl at (0.176, 0.000, 0.369).

# 7
A plane-wave DFT calculation with PBE was carried out for an optimized crystal structure of HfReMo.

The value obtained for the total energy is -128.9 eV/cell. For the formation energy from the elements, the calculation gives 0.330 eV per atom. For the spin magnetization, the calculation gives 0.000 μB/atom.

It has space group F-43m (No. 216), with a = 6.210 Å, b = 6.210 Å, c = 6.210 Å, α = 90.00°, β = 90.00° and γ = 90.00°. The inequivalent atoms are Hf at (0.000, 0.000, 0.000), Re at (0.250, 0.250, 0.250) and Mo at (0.000, 0.000, 0.500).

# 8
A plane-wave DFT calculation with PBE was carried out for an optimized crystal structure of RbThOs.

The value obtained for the total energy is -66.6 eV/cell. For the spin magnetization, the calculation gives 0.003 μB/atom.

It has space group F-43m (No. 216), with a = 7.080 Å, b = 7.080 Å, c = 7.080 Å, α = 90.00°, β = 90.00° and γ = 90.00°. The inequivalent atoms are Rb at (0.000, 0.000, 0.000), Th at (0.000, 0.000, 0.500) and Os at (0.250, 0.250, 0.250).

# 9
A plane-wave DFT calculation with PBE was carried out for an optimized crystal structure of ZrSnNOF.

The value obtained for the total energy is -37.0 eV/cell. For the spin magnetization, the calculation gives 0.000 μB/atom.

It has space group Pmm2 (No. 25), with a = 3.951 Å, b = 4.090 Å, c = 4.615 Å, α = 90.00°, β = 90.00° and γ = 90.00°. The inequivalent atoms are Zr at (0.000, 0.000, 0.000), Sn at (0.500, 0.500, 0.606), N at (0.000, 0.500, 0.871), O at (0.500, 0.000, 0.859) and F at (0.000, 0.000, 0.439).

# 10
A plane-wave DFT calculation with PBE was carried out for an optimized crystal structure of TeAsIrO.

The value obtained for the total energy is -43.6 eV/cell. For the spin magnetization, the calculation gives 0.000 μB/atom.

It has space group Pmc2_1 (No. 26), with a = 3.732 Å, b = 7.270 Å, c = 6.701 Å, α = 90.00°, β = 90.00° and γ = 90.00°. The inequivalent atoms are Te at (0.000, 0.129, 0.000), As at (0.500, 0.340, 0.839), Ir at (0.500, 0.345, 0.473) and O at (0.000, 0.329, 0.460).

# 11
A plane-wave DFT calculation with PBE was carried out for an optimized crystal structure of Gd3Mg3AlTlCd.

The value obtained for the total energy is -28.6 eV/cell. For the spin magnetization, the calculation gives 0.002 μB/atom.

It has space group P-6 (No. 174), with a = 7.5339 Å, b = 7.5339 Å, c = 4.6092 Å, α = 90.00°, β = 90.00° and γ = 120.00°. The inequivalent atoms are Gd at (0.0977, 0.3420, 0.0000), Mg at (0.4272, 0.3396, 0.5000), Al at (0.3333, 0.6667, 0.5000), Tl at (0.0000, 0.0000, 0.5000) and Cd at (0.6667, 0.3333, 0.0000).

# 12
A plane-wave DFT calculation with PBE was carried out for an optimized crystal structure of FeSiNiIr.

The value obtained for the total energy is -114.5 eV/cell. For the spin magnetization, the calculation gives 0.626 μB/atom.

It has space group F-43m (No. 216), with a = 5.806 Å, b = 5.806 Å, c = 5.806 Å, α = 90.00°, β = 90.00° and γ = 90.00°. The inequivalent atoms are Fe at (0.000, 0.000, 0.000), Si at (0.250, 0.250, 0.750), Ni at (0.000, 0.000, 0.500) and Ir at (0.250, 0.250, 0.250).

What did the eighth record say?
A plane-wave DFT calculation with PBE was carried out for an optimized crystal structure of RbThOs.

The value obtained for the total energy is -66.6 eV/cell. For the spin magnetization, the calculation gives 0.003 μB/atom.

It has space group F-43m (No. 216), with a = 7.080 Å, b = 7.080 Å, c = 7.080 Å, α = 90.00°, β = 90.00° and γ = 90.00°. The inequivalent atoms are Rb at (0.000, 0.000, 0.000), Th at (0.000, 0.000, 0.500) and Os at (0.250, 0.250, 0.250).